Density functional theory data (PBE) for a geometry-optimized BaSm2Sc structure.

Output
density of states at the Fermi level	4.43	states/eV/cell
distance to the lowest polymorph of the same formula	0	meV/atom
E_tot	-17.16	eV/cell

abc: 3.933 3.933 9.596
angles: 90.00 90.00 90.00
Space group P4/mmm (No. 123)
Inequivalent atoms, fractional coordinates:
1 Ba 0.000 0.000 0.000 x1
2 Sm 0.500 0.500 0.310 x2
3 Sc 0.000 0.000 0.500 x1

Density functional theory data (PBE) for a geometry-optimized Sm2In3Ag5 structure.

Output
density of states at the Fermi level	19.34	states/eV/cell
E_tot	-135.67	eV/cell

abc: 12.013 12.766 6.121
angles: 90.00 90.00 90.00
Space group Ibam (No. 72)
Inequivalent atoms, fractional coordinates:
1 Sm 0.124 0.249 0.000 x8
2 In 0.000 0.500 0.250 x4
3 In 0.129 0.139 0.500 x8
4 Ag 0.000 0.000 0.250 x4
5 Ag 0.125 0.351 0.500 x8
6 Ag 0.245 0.500 0.250 x8

Density functional theory data (PBE) for a geometry-optimized CaGaH structure.

Output
density of states at the Fermi level	3.75	states/eV/cell
distance to the lowest polymorph of the same formula	299	meV/atom
E_tot	-17.35	eV/cell

abc: 3.152 3.152 11.478
angles: 90.00 90.00 90.00
Space group I4mm (No. 107)
Inequivalent atoms, fractional coordinates:
1 Ca 0.000 0.000 0.000 x2
2 Ga 0.000 0.000 0.725 x2
3 H 0.000 0.000 0.476 x2

Density functional theory data (PBE) for a geometry-optimized IrPbCl2 structure.

Output
density of states at the Fermi level	3.94	states/eV/cell
distance to the lowest polymorph of the same formula	708	meV/atom
formation energy from raw total energies	58.69	kJ/mol of atoms
E_tot	-13.83	eV/cell

abc: 3.231 3.231 8.390
angles: 90.00 90.00 90.00
Space group P4/mmm (No. 123)
Inequivalent atoms, fractional coordinates:
1 Ir 0.000 0.000 0.000 x1
2 Pb 0.000 0.000 0.500 x1
3 Cl 0.500 0.500 0.191 x2